No. 1
Entry from the Alexandria database: an optimized crystal structure of La2Mg (PBE).

```
La2Mg
1.0
3.705 0.000 0.000
0.000 4.877 0.000
0.000 0.000 10.804
La Mg
4 2
Cartesian
0.000 0.000 0.000 La
0.000 0.000 3.443 La
0.000 0.000 7.361 La
1.852 2.438 5.402 La
1.852 2.438 1.729 Mg
1.852 2.438 9.075 Mg
```

Output
Calculated formation energy: -0.02 eV/atom
SG: Pmmm (47)
Distance to the lowest polymorph of the same formula: 46 meV/atom

No. 2
Entry from the Alexandria database: an optimized crystal structure of LaMg (PBE).

```
LaMg
1.0
-1.932 2.826 5.618
1.932 -2.826 5.618
1.932 2.826 -5.618
La Mg
2 2
Cartesian
0.000 1.413 1.314 La
1.932 1.413 4.304 La
1.932 1.413 -1.653 Mg
0.000 1.413 7.270 Mg
```

Output
Calculated formation energy: -0.08 eV/atom
SG: Imma (74)
Distance to the lowest polymorph of the same formula: 30 meV/atom

Repeat the first record exactly.
Entry from the Alexandria database: an optimized crystal structure of La2Mg (PBE).

```
La2Mg
1.0
3.705 0.000 0.000
0.000 4.877 0.000
0.000 0.000 10.804
La Mg
4 2
Cartesian
0.000 0.000 0.000 La
0.000 0.000 3.443 La
0.000 0.000 7.361 La
1.852 2.438 5.402 La
1.852 2.438 1.729 Mg
1.852 2.438 9.075 Mg
```

Output
Calculated formation energy: -0.02 eV/atom
SG: Pmmm (47)
Distance to the lowest polymorph of the same formula: 46 meV/atom